Record 1
This record from Alexandria describes a relaxed Tm4Pt3Au crystal. The functional is PBE-GGA.

a b c (Å): 3.687 4.512 10.519
angles (deg): 90.00 90.00 90.00
Positions (direct):
Tm1 0.000 0.500 0.855
Tm2 0.000 0.000 0.140
Tm3 0.500 0.500 0.369
Tm4 0.500 0.000 0.638
Pt1 0.000 0.000 0.410
Pt2 0.000 0.500 0.588
Pt3 0.500 0.000 0.912
Au1 0.500 0.500 0.088

Output
The density of states at the Fermi level comes out at 4.58 states/eV/cell. The calculation puts the raw total energy at -49.1 eV per formula unit. The space group is Pmm2, No. 25. The calculation puts the formation energy at -1227 meV/atom.

Record 2
This record from Alexandria describes a relaxed Tm3PtAu crystal. The functional is PBE-GGA.

a b c (Å): 4.968 4.967 9.923
angles (deg): 90.00 75.50 90.00
Positions (direct):
Au1 0.481 0.750 0.686
Au2 0.167 0.250 0.314
Tm1 0.575 0.250 0.499
Tm2 0.252 0.750 0.144
Tm3 0.074 0.750 0.501
Tm4 0.753 0.250 0.143
Tm5 0.396 0.250 0.856
Tm6 0.896 0.750 0.857
Pt1 0.666 0.750 0.317
Pt2 0.982 0.250 0.683

Output
The density of states at the Fermi level comes out at 6.72 states/eV/cell. The calculation puts the raw total energy at -27.0 eV per formula unit. The space group is Cmcm, No. 63. The calculation puts the formation energy at -856 meV/atom.

Record 3
This record from Alexandria describes a relaxed Tm3Pt2Au3 crystal. The functional is PBE-GGA.

a b c (Å): 3.551 7.388 7.388
angles (deg): 120.00 90.00 90.00
Positions (direct):
Tm1 0.500 0.400 0.400
Tm2 0.500 0.000 0.600
Tm3 0.500 0.600 0.000
Pt1 0.000 0.333 0.667
Pt2 0.000 0.667 0.333
Au1 0.000 0.000 0.231
Au2 0.000 0.231 0.000
Au3 0.000 0.769 0.769

Output
The density of states at the Fermi level comes out at 5.62 states/eV/cell. The calculation puts the raw total energy at -43.7 eV per formula unit. The space group is P-62m, No. 189. The calculation puts the formation energy at -1044 meV/atom.

Record 4
This record from Alexandria describes a relaxed Tm2PtAu crystal. The functional is PBE-GGA.

a b c (Å): 3.722 5.457 5.457
angles (deg): 82.52 70.06 70.06
Positions (direct):
Pt1 0.000 0.715 0.285
Au1 0.000 0.111 0.889
Tm1 0.258 0.150 0.335
Tm2 0.742 0.665 0.850

Output
The density of states at the Fermi level comes out at 2.33 states/eV/cell. The calculation puts the raw total energy at -21.9 eV per formula unit. The space group is Imm2, No. 44. The calculation puts the formation energy at -900 meV/atom.

Record 5
This record from Alexandria describes a relaxed Tm4Pt2Au crystal. The functional is PBE-GGA.

a b c (Å): 4.846 4.846 8.572
angles (deg): 73.58 73.58 60.00
Positions (direct):
Tm1 0.622 0.622 0.133
Tm2 0.873 0.873 0.381
Tm3 0.127 0.127 0.619
Tm4 0.378 0.378 0.867
Au1 0.000 0.000 0.000
Pt1 0.755 0.755 0.735
Pt2 0.245 0.245 0.265

Output
The density of states at the Fermi level comes out at 3.81 states/eV/cell. The calculation puts the raw total energy at -40.4 eV per formula unit. The space group is R-3m, No. 166. The calculation puts the formation energy at -1023 meV/atom.

Record 6
This record from Alexandria describes a relaxed Tm6PtAu3 crystal. The functional is PBE-GGA.

a b c (Å): 6.847 7.592 10.205
angles (deg): 90.00 87.73 90.00
Positions (direct):
Au1 0.558 0.883 0.755
Au2 0.942 0.383 0.745
Au3 0.058 0.617 0.255
Au4 0.442 0.117 0.245
Au5 0.500 0.500 0.000
Au6 0.000 0.000 0.500
Pt1 0.500 0.500 0.500
Pt2 0.000 0.000 0.000
Tm1 0.169 0.329 0.428
Tm2 0.650 0.182 0.575
Tm3 0.331 0.829 0.072
Tm4 0.350 0.818 0.425
Tm5 0.170 0.050 0.753
Tm6 0.670 0.450 0.253
Tm7 0.669 0.171 0.928
Tm8 0.831 0.671 0.572
Tm9 0.850 0.682 0.925
Tm10 0.830 0.950 0.247
Tm11 0.330 0.550 0.747
Tm12 0.150 0.318 0.075

Output
The density of states at the Fermi level comes out at 20.28 states/eV/cell. The calculation puts the raw total energy at -50.0 eV per formula unit. The space group is P2_1/c, No. 14. The calculation puts the formation energy at -731 meV/atom.

Record 7
This record from Alexandria describes a relaxed Tm2Pt2Au crystal. The functional is PBE-GGA.

a b c (Å): 3.659 7.547 7.547
angles (deg): 90.00 90.00 90.00
Positions (direct):
Pt1 0.000 0.132 0.368
Pt2 0.000 0.632 0.132
Pt3 0.000 0.868 0.632
Pt4 0.000 0.368 0.868
Tm1 0.500 0.831 0.331
Tm2 0.500 0.331 0.169
Tm3 0.500 0.669 0.831
Tm4 0.500 0.169 0.669
Au1 0.000 0.500 0.500
Au2 0.000 0.000 0.000

Output
The density of states at the Fermi level comes out at 3.44 states/eV/cell. The calculation puts the raw total energy at -30.0 eV per formula unit. The space group is P4/mbm, No. 127. The calculation puts the formation energy at -1148 meV/atom.

Record 8
This record from Alexandria describes a relaxed Tm4PtAu2 crystal. The functional is PBE-GGA.

a b c (Å): 4.894 6.075 6.075
angles (deg): 109.56 90.00 90.00
Positions (direct):
Tm1 0.000 0.259 0.259
Tm2 0.500 0.500 0.000
Tm3 0.500 0.000 0.500
Tm4 0.000 0.741 0.741
Au1 0.000 0.769 0.231
Au2 0.000 0.231 0.769
Pt1 0.500 0.500 0.500

Output
The density of states at the Fermi level comes out at 4.48 states/eV/cell. The calculation puts the raw total energy at -36.5 eV per formula unit. The space group is Cmmm, No. 65. The calculation puts the formation energy at -859 meV/atom.

Record 9
This record from Alexandria describes a relaxed Tm4PtAu3 crystal. The functional is PBE-GGA.

a b c (Å): 3.512 3.512 14.200
angles (deg): 90.00 90.00 90.00
Positions (direct):
Au1 0.500 0.500 0.752
Au2 0.500 0.500 0.500
Au3 0.500 0.500 0.248
Tm1 0.000 0.000 0.881
Tm2 0.000 0.000 0.119
Tm3 0.000 0.000 0.373
Tm4 0.000 0.000 0.627
Pt1 0.500 0.500 0.000

Output
The density of states at the Fermi level comes out at 2.95 states/eV/cell. The calculation puts the raw total energy at -41.7 eV per formula unit. The space group is P4/mmm, No. 123. The calculation puts the formation energy at -998 meV/atom.

Record 10
This record from Alexandria describes a relaxed Tm8Pt5Au crystal. The functional is PBE-GGA.

a b c (Å): 7.492 7.492 7.492
angles (deg): 109.19 110.04 109.19
Positions (direct):
Pt1 0.750 0.624 0.629
Pt2 0.874 0.879 0.250
Pt3 0.006 0.376 0.126
Pt4 0.500 0.000 0.500
Pt5 0.371 0.121 0.994
Tm1 0.631 0.377 0.878
Tm2 0.746 0.247 0.369
Tm3 0.122 0.753 0.499
Tm4 0.988 0.111 0.743
Tm5 0.632 0.889 0.877
Tm6 0.257 0.245 0.368
Tm7 0.501 0.623 0.254
Tm8 0.123 0.755 0.012
Au1 0.250 0.500 0.750

Output
The density of states at the Fermi level comes out at 7.59 states/eV/cell. The calculation puts the raw total energy at -84.5 eV per formula unit. The space group is I-4, No. 82. The calculation puts the formation energy at -1086 meV/atom.

Record 11
This record from Alexandria describes a relaxed Tm2PtAu2 crystal. The functional is PBE-GGA.

a b c (Å): 3.536 3.872 8.030
angles (deg): 76.05 90.00 90.00
Positions (direct):
Pt1 0.000 0.000 0.000
Au1 0.000 0.187 0.626
Au2 0.000 0.813 0.374
Tm1 0.500 0.394 0.211
Tm2 0.500 0.606 0.789

Output
The density of states at the Fermi level comes out at 1.47 states/eV/cell. The calculation puts the raw total energy at -26.2 eV per formula unit. The space group is Cmmm, No. 65. The calculation puts the formation energy at -942 meV/atom.

Record 12
This record from Alexandria describes a relaxed Tm2PtAu crystal. The functional is PBE-GGA.

a b c (Å): 4.026 4.026 7.304
angles (deg): 74.00 74.00 60.00
Positions (direct):
Pt1 0.666 0.666 0.002
Tm1 0.076 0.076 0.773
Tm2 0.258 0.258 0.227
Au1 0.501 0.501 0.497

Output
The density of states at the Fermi level comes out at 2.60 states/eV/cell. The calculation puts the raw total energy at -22.3 eV per formula unit. The space group is R3m, No. 160. The calculation puts the formation energy at -998 meV/atom.

Record 13
This record from Alexandria describes a relaxed Tm2PtAu6 crystal. The functional is PBE-GGA.

a b c (Å): 3.980 7.054 6.993
angles (deg): 111.71 106.54 90.00
Positions (direct):
Au1 0.834 0.497 0.668
Au2 0.728 0.830 0.456
Au3 0.166 0.503 0.332
Au4 0.396 0.833 0.791
Au5 0.272 0.170 0.544
Au6 0.604 0.167 0.209
Tm1 0.060 0.813 0.119
Tm2 0.940 0.187 0.881
Pt1 0.500 0.500 0.000

Output
The density of states at the Fermi level comes out at 2.71 states/eV/cell. The calculation puts the raw total energy at -40.4 eV per formula unit. The space group is C2/m, No. 12. The calculation puts the formation energy at -642 meV/atom.

Record 14
This record from Alexandria describes a relaxed Tm3PtAu crystal. The functional is PBE-GGA.

a b c (Å): 4.136 7.035 8.718
angles (deg): 90.00 90.00 90.00
Positions (direct):
Au1 0.250 0.750 0.833
Au2 0.750 0.250 0.167
Tm1 0.250 0.250 0.941
Tm2 0.750 0.992 0.671
Tm3 0.250 0.008 0.329
Tm4 0.750 0.508 0.671
Tm5 0.750 0.750 0.059
Tm6 0.250 0.492 0.329
Pt1 0.750 0.750 0.402
Pt2 0.250 0.250 0.598

Output
The density of states at the Fermi level comes out at 8.99 states/eV/cell. The calculation puts the raw total energy at -27.1 eV per formula unit. The space group is Pmmn, No. 59. The calculation puts the formation energy at -866 meV/atom.

Record 15
This record from Alexandria describes a relaxed Tm2PtAu2 crystal. The functional is PBE-GGA.

a b c (Å): 5.836 6.247 7.695
angles (deg): 113.95 112.29 90.00
Positions (direct):
Au1 0.877 0.676 0.755
Au2 0.623 0.922 0.245
Au3 0.377 0.078 0.755
Au4 0.123 0.324 0.245
Tm1 0.849 0.106 0.697
Tm2 0.349 0.591 0.697
Tm3 0.151 0.894 0.303
Tm4 0.651 0.409 0.303
Pt1 0.250 0.500 0.000
Pt2 0.750 0.500 0.000

Output
The density of states at the Fermi level comes out at 5.24 states/eV/cell. The calculation puts the raw total energy at -25.8 eV per formula unit. The space group is Ibam, No. 72. The calculation puts the formation energy at -847 meV/atom.

Record 16
This record from Alexandria describes a relaxed Tm3Pt2Au crystal. The functional is PBE-GGA.

a b c (Å): 3.490 4.936 7.757
angles (deg): 108.55 90.00 90.00
Positions (direct):
Pt1 0.000 0.665 0.331
Pt2 0.000 0.335 0.669
Tm1 0.500 0.171 0.342
Tm2 0.500 0.500 0.000
Tm3 0.500 0.829 0.658
Au1 0.000 0.000 0.000

Output
The density of states at the Fermi level comes out at 3.82 states/eV/cell. The calculation puts the raw total energy at -35.7 eV per formula unit. The space group is Cmmm, No. 65. The calculation puts the formation energy at -1149 meV/atom.

Record 17
This record from Alexandria describes a relaxed Tm12PtAu6 crystal. The functional is PBE-GGA.

a b c (Å): 8.285 8.285 8.285
angles (deg): 99.19 99.19 99.19
Positions (direct):
Tm1 0.580 0.181 0.428
Tm2 0.428 0.580 0.181
Tm3 0.572 0.420 0.819
Tm4 0.951 0.320 0.068
Tm5 0.680 0.932 0.049
Tm6 0.320 0.068 0.951
Tm7 0.420 0.819 0.572
Tm8 0.932 0.049 0.680
Tm9 0.049 0.680 0.932
Tm10 0.181 0.428 0.580
Tm11 0.068 0.951 0.320
Tm12 0.819 0.572 0.420
Au1 0.305 0.134 0.619
Au2 0.134 0.619 0.305
Au3 0.619 0.305 0.134
Au4 0.695 0.866 0.381
Au5 0.381 0.695 0.866
Au6 0.866 0.381 0.695
Pt1 0.000 0.000 0.000

Output
The density of states at the Fermi level comes out at 19.93 states/eV/cell. The calculation puts the raw total energy at -90.2 eV per formula unit. The space group is R-3, No. 148. The calculation puts the formation energy at -569 meV/atom.

Record 18
This record from Alexandria describes a relaxed Tm4Pt7Au crystal. The functional is PBE-GGA.

a b c (Å): 5.531 8.174 5.427
angles (deg): 100.27 75.05 92.87
Positions (direct):
Tm1 0.346 0.796 0.545
Tm2 0.729 0.645 0.878
Tm3 0.271 0.355 0.122
Tm4 0.654 0.204 0.455
Pt1 0.260 0.456 0.662
Pt2 0.848 0.867 0.513
Pt3 0.185 0.709 0.082
Pt4 0.152 0.133 0.487
Pt5 0.815 0.291 0.918
Pt6 0.500 0.000 0.000
Pt7 0.740 0.544 0.338
Au1 0.000 0.000 0.000

Output
The density of states at the Fermi level comes out at 5.63 states/eV/cell. The calculation puts the raw total energy at -76.2 eV per formula unit. The space group is P-1, No. 2. The calculation puts the formation energy at -1065 meV/atom.

Record 19
This record from Alexandria describes a relaxed Tm2PtAu crystal. The functional is PBE-GGA.

a b c (Å): 3.485 3.485 7.070
angles (deg): 90.00 90.00 90.00
Positions (direct):
Au1 0.500 0.500 0.500
Pt1 0.500 0.500 0.000
Tm1 0.000 0.000 0.759
Tm2 0.000 0.000 0.241

Output
The density of states at the Fermi level comes out at 2.55 states/eV/cell. The calculation puts the raw total energy at -22.6 eV per formula unit. The space group is P4/mmm, No. 123. The calculation puts the formation energy at -1092 meV/atom.

Record 20
This record from Alexandria describes a relaxed YTmPtAu crystal. The functional is PBE-GGA.

a b c (Å): 4.987 4.987 4.987
angles (deg): 60.00 60.00 60.00
Positions (direct):
Au1 0.250 0.250 0.250
Pt1 0.750 0.750 0.750
Y1 0.500 0.500 0.500
Tm1 0.000 0.000 0.000

Output
The density of states at the Fermi level comes out at 2.51 states/eV/cell. The calculation puts the raw total energy at -24.5 eV per formula unit. The space group is F-43m, No. 216. The calculation puts the formation energy at -1052 meV/atom.

Record 21
This record from Alexandria describes a relaxed YTmPtAu crystal. The functional is PBE-GGA.

a b c (Å): 3.735 4.579 5.648
angles (deg): 90.00 109.31 90.00
Positions (direct):
Au1 0.587 0.500 0.174
Pt1 0.411 0.000 0.821
Y1 0.140 0.000 0.279
Tm1 0.863 0.500 0.726

Output
The density of states at the Fermi level comes out at 2.01 states/eV/cell. The calculation puts the raw total energy at -24.6 eV per formula unit. The space group is Amm2, No. 38. The calculation puts the formation energy at -1097 meV/atom.

Record 22
This record from Alexandria describes a relaxed TmZnPtAu crystal. The functional is PBE-GGA.

a b c (Å): 4.483 5.073 4.518
angles (deg): 116.33 119.74 90.00
Positions (direct):
Tm1 0.505 0.514 0.010
Zn1 0.982 0.947 0.965
Pt1 0.283 0.850 0.567
Au1 0.729 0.189 0.458

Output
The density of states at the Fermi level comes out at 1.65 states/eV/cell. The calculation puts the raw total energy at -18.2 eV per formula unit. The space group is Cm, No. 8. The calculation puts the formation energy at -793 meV/atom.

Record 23
This record from Alexandria describes a relaxed UPt4Au crystal. The functional is PBE-GGA.

a b c (Å): 5.341 5.341 5.341
angles (deg): 60.00 60.00 60.00
Last column: magnetic moment on the atom in μB.
Positions (direct):
Pt1 0.625 0.126 0.625  -0.12
Pt2 0.625 0.625 0.625  -0.12
Pt3 0.126 0.625 0.625  -0.12
Pt4 0.625 0.625 0.126  -0.12
Au1 0.250 0.250 0.250  -0.01
U1 0.000 0.000 0.000  1.66

Output
The density of states at the Fermi level comes out at 7.52 states/eV/cell. The calculation puts the raw total energy at -42.2 eV per formula unit. The space group is F-43m, No. 216. The calculation puts the formation energy at -572 meV/atom.

Record 24
This record from Alexandria describes a relaxed U2Pt7Au crystal. The functional is PBE-GGA.

a b c (Å): 4.061 8.184 8.184
angles (deg): 126.85 90.00 90.00
Last column: magnetic moment on the atom in μB.
Positions (direct):
Pt1 0.500 0.911 0.705  -0.05
Pt2 0.000 0.813 0.187  -0.04
Pt3 0.500 0.500 0.500  -0.06
Pt4 0.500 0.705 0.911  -0.05
Pt5 0.500 0.089 0.295  -0.05
Pt6 0.500 0.295 0.089  -0.05
Pt7 0.000 0.187 0.813  -0.04
U1 0.500 0.308 0.692  1.37
U2 0.500 0.692 0.308  1.37
Au1 0.000 0.000 0.000  0.00

Output
The density of states at the Fermi level comes out at 14.03 states/eV/cell. The calculation puts the raw total energy at -68.7 eV per formula unit. The space group is Cmmm, No. 65. The calculation puts the formation energy at -59 meV/atom.